Crystalline AgSbTe2F at its relaxed geometry. Source: Alexandria via LeMat-Bulk, functional PBE-GGA.

Values from the calculation:
The density of states at the Fermi level is 2.735 states/eV/f.u. The crystal system is tetragonal. Its calculated volume is 25.70 Å³ per atom. The value obtained for the energy relative to the elements, uncorrected is 5 kJ/mol of atoms. The value obtained for the theoretical density is 6511 kg/m³. The value obtained for the energy above the lowest structure with this stoichiometry is 0 kJ/mol of formula units.

Cell: 5.3775 5.3775 4.4433 Å, 90.00 90.00 90.00°
Element x y z (fractional)
Sb (0.0000, 0.0000, 0.5000)
Te (0.0000, 0.5000, 0.0000)
Te (0.5000, 0.0000, 0.0000)
Ag (0.5000, 0.5000, 0.5000)
F (0.0000, 0.0000, 0.0000)